No. 1
Au2SN after structural relaxation, computed with PBE.

Cell: 3.689 4.470 5.220 Å, 79.40 83.84 81.57°
Space group P1 (No. 1)
Inequivalent atoms, fractional coordinates:
Au  0.000  0.000  0.000 [1 per cell]
Au  0.498  0.542  0.468 [1 per cell]
S  0.002  0.162  0.557 [1 per cell]
N  0.011  0.864  0.402 [1 per cell]

crystal system: triclinic
total moment: 0.0 μB/f.u.
formation energy (no corrections): 0.54 eV per atom
energy above the lowest structure with this stoichiometry: 14 meV/atom

No. 2
Au2SN after structural relaxation, computed with PBE.

Cell: 3.488 4.070 6.242 Å, 107.61 90.13 115.18°
Space group P1 (No. 1)
Inequivalent atoms, fractional coordinates:
Au  0.000  0.000  0.000 [1 per cell]
Au  0.279  0.558  0.698 [1 per cell]
S  0.592  0.183  0.449 [1 per cell]
N  0.625  0.251  0.211 [1 per cell]

crystal system: triclinic
total moment: 0.0 μB/f.u.
formation energy (no corrections): 0.55 eV per atom
energy above the lowest structure with this stoichiometry: 25 meV/atom

No. 3
AuS2N after structural relaxation, computed with PBE.

Cell: 4.242 4.991 6.320 Å, 68.93 87.48 69.71°
Space group P1 (No. 1)
Inequivalent atoms, fractional coordinates:
Au  0.000  0.000  0.000 [1 per cell]
S  0.202  0.832  0.531 [1 per cell]
S  0.811  0.170  0.288 [1 per cell]
N  0.203  0.825  0.769 [1 per cell]

crystal system: triclinic
total moment: 0.0 μB/f.u.
formation energy (no corrections): 0.42 eV per atom

No. 4
Au2SN after structural relaxation, computed with PBE.

Cell: 3.290 5.224 5.225 Å, 84.43 89.90 89.76°
Space group P1 (No. 1)
Inequivalent atoms, fractional coordinates:
Au  0.000  0.000  0.000 [1 per cell]
Au  0.000  0.469  0.469 [1 per cell]
S  0.000  0.596  0.873 [1 per cell]
N  0.000  0.365  0.104 [1 per cell]

crystal system: triclinic
total moment: 0.0 μB/f.u.
formation energy (no corrections): 0.53 eV per atom
energy above the lowest structure with this stoichiometry: 4 meV/atom

No. 5
AuS2N after structural relaxation, computed with PBE.

Cell: 4.0762 4.0762 17.0937 Å, 90.00 90.00 120.00°
Space group R-3m (No. 166, hexagonal axes)
Inequivalent atoms, fractional coordinates:
Au  0.0000  0.0000  0.0000 [3 per cell]
S  0.0000  0.0000  0.4093 [6 per cell]
N  0.0000  0.0000  0.5000 [3 per cell]

crystal system: trigonal
total moment: 0.0 μB/f.u.
formation energy (no corrections): 0.50 eV per atom

No. 6
Au2SN after structural relaxation, computed with PBE.

Cell: 5.854 7.412 4.391 Å, 90.00 122.07 90.00°
Space group Cm (No. 8)
Inequivalent atoms, fractional coordinates:
Au  0.000  0.239  0.000 [4 per cell]
S  0.091  0.500  0.331 [2 per cell]
N  0.383  0.500  0.713 [2 per cell]

crystal system: monoclinic
total moment: 0.7 μB/f.u.
formation energy (no corrections): 0.52 eV per atom
energy above the lowest structure with this stoichiometry: 1 meV/atom